Density functional theory data (PBE) for a relaxed Ni5Os crystal.

Cell lengths 3.5759, 3.5939, 5.6372 Å; angles 108.59, 90.00, 90.00 degrees
Sites, in units of the cell vectors:
1 Ni 0.5000 0.8331 0.6661
2 Ni 0.0000 0.6644 0.3288
3 Ni 0.5000 0.5000 0.0000
4 Ni 0.0000 0.3356 0.6712
5 Ni 0.5000 0.1669 0.3339
6 Os 0.0000 0.0000 0.0000

## Properties
- E: -39.586 eV/cell
- Calculated formation energy: 0.092 eV per atom
- Space group: No. 65
- Magnetic moment: 0.00 μB/atom
- Energy above the lowest structure with this stoichiometry: 0.14 kJ per mole of atoms